Ho2Er8Th after structural relaxation, computed with GGA-PBE.

Lattice parameters (Å, degrees): 17.949 4.981 7.869 90.00 105.25 90.00
Space group C2/m (No. 12)
Unique sites:
Ho1 0.228 0.000 0.136 [4 per cell]
Er1 0.045 0.000 0.231 [4 per cell]
Er2 0.091 0.500 0.953 [4 per cell]
Er3 0.136 0.000 0.680 [4 per cell]
Er4 0.181 0.500 0.408 [4 per cell]
Th1 0.000 0.500 0.500 [2 per cell]

Calculated values
Its total energy is -0.176 hartree per atom. For the mass density, the calculation gives 9.3 g cm⁻³. For the formation energy, the calculation gives 0.029 eV per atom. The value obtained for the calculated volume is 30.9 A^3/atom.